[1]
A plane-wave DFT calculation with PBE was carried out for a relaxed Ba6Au2Br crystal.

- Space-group type: R3 (146)
- M_tot: 0.00 μB per formula unit
- E_form (uncorrected): -6.23 eV/f.u.
- Raw total energy: -2.888 eV per atom

Cell lengths 8.182, 8.182, 9.130 Å; angles 63.38, 63.38, 60.00 degrees
Fractional coordinates of all 9 atoms:
1 Ba 0.876 0.544 0.354
2 Ba 0.702 0.061 0.866
3 Ba 0.061 0.370 0.866
4 Ba 0.370 0.702 0.866
5 Ba 0.227 0.876 0.354
6 Ba 0.544 0.227 0.354
7 Br 0.796 0.796 0.611
8 Au 0.293 0.293 0.121
9 Au 0.465 0.465 0.605

[2]
A plane-wave DFT calculation with PBE was carried out for a relaxed Ba6Au3Br2 crystal.

- Space-group type: C2/m (12)
- M_tot: 0.00 μB per formula unit
- E_form (uncorrected): -10.95 eV/f.u.
- Raw total energy: -3.242 eV per atom

Cell lengths 8.272, 8.277, 8.542 Å; angles 80.64, 71.00, 60.02 degrees
Fractional coordinates of all 11 atoms:
1 Br 0.166 0.668 0.500
2 Br 0.834 0.332 0.500
3 Au 0.669 0.662 0.000
4 Au 0.000 0.000 0.000
5 Au 0.331 0.338 0.000
6 Ba 0.409 0.669 0.773
7 Ba 0.260 0.000 0.223
8 Ba 0.740 0.000 0.777
9 Ba 0.591 0.331 0.227
10 Ba 0.078 0.331 0.773
11 Ba 0.922 0.669 0.227

[3]
A plane-wave DFT calculation with PBE was carried out for a relaxed BaAu2Br crystal.

- Space-group type: R3m (160)
- M_tot: 0.00 μB per formula unit
- E_form (uncorrected): -3.64 eV/f.u.
- Raw total energy: -3.448 eV per atom
- Offset from the most stable computed form: 0.0000 eV/atom

Cell lengths 7.650, 7.650, 7.650 Å; angles 36.24, 36.24, 36.24 degrees
Fractional coordinates of all 4 atoms:
1 Br 0.764 0.764 0.764
2 Au 0.946 0.946 0.946
3 Au 0.278 0.278 0.278
4 Ba 0.512 0.512 0.512

[4]
A plane-wave DFT calculation with PBE was carried out for a relaxed BaAuBr5 crystal.

- Space-group type: C2/c (15)
- M_tot: 0.00 μB per formula unit
- E_form (uncorrected): -6.85 eV/f.u.
- Raw total energy: -2.917 eV per atom

Cell lengths 7.164, 7.164, 14.571 Å; angles 56.82, 56.82, 55.87 degrees
Fractional coordinates of all 14 atoms:
1 Au 0.000 0.000 0.000
2 Au 0.000 0.000 0.500
3 Br 0.824 0.435 0.969
4 Br 0.597 0.967 0.131
5 Br 0.967 0.597 0.631
6 Br 0.176 0.565 0.031
7 Br 0.914 0.086 0.750
8 Br 0.435 0.824 0.469
9 Br 0.403 0.033 0.869
10 Br 0.033 0.403 0.369
11 Br 0.086 0.914 0.250
12 Br 0.565 0.176 0.531
13 Ba 0.597 0.403 0.250
14 Ba 0.403 0.597 0.750